16
Lattice="8.239 0.000 0.000 -4.120 7.135 0.000 0.000 0.000 5.187" Properties=species:S:1:pos:R:3 comment="Mg3Ta5 PBE optimized geometry" e_above_lowest_polymorph_mev_per_atom=287 sg="P6_3/mcm (193)" vol_a3_per_cell=305 total_energy_ha_per_atom=-0.274 dos_ef_per_ev_fu=6.8 delta_e_f_ev_per_fu=4.415 pbc="T T T"
Mg -1.652 2.861 1.297
Mg -2.468 4.275 3.890
Mg 3.303 0.000 1.297
Mg 1.652 2.861 3.890
Mg 4.936 0.000 3.890
Mg 2.468 4.275 1.297
Ta -0.834 1.445 3.890
Ta -3.286 5.691 1.297
Ta 1.668 0.000 3.890
Ta 0.834 1.445 1.297
Ta 0.000 4.757 0.000
Ta 0.000 4.757 2.593
Ta 4.120 2.378 0.000
Ta 4.120 2.378 2.593
Ta 6.571 0.000 1.297
Ta 3.286 5.691 3.890